The following is a GGA-PBEsol calculation of MgNbGe3 after structural relaxation, from Alexandria.

The value obtained for the density of states at the Fermi level is 5.206 states/eV per cell. The calculation puts the formation energy from the elements at 0.378 eV/atom.

It has space group Pm-3m (No. 221), with a = 4.981 Å, b = 4.981 Å, c = 4.981 Å, α = 90.00°, β = 90.00° and γ = 90.00°. Symmetry generates all atoms from Mg at (0.000, 0.000, 0.000), Nb at (0.500, 0.500, 0.500) and Ge at (0.000, 0.500, 0.500).